(1)
The following is a DFT calculation (PBE) of an optimized crystal structure of Ca2Al2Os.

abc: 6.6759 6.6759 4.9974
angles: 90.00 90.00 90.00
Last column: nearest neighbours and their distance in Å.
Positions (direct):
Os 0.5000 0.5000 0.0000  4 Al 2.55
Ca 0.6803 0.8197 0.5000  6 Al 2.98-3.33
Al 0.6475 0.1475 0.0000  2 Os 2.55, 1 Al 2.78
Ca 0.3197 0.1803 0.5000  6 Al 2.98-3.33
Os 0.0000 0.0000 0.0000  4 Al 2.55
Al 0.3525 0.8525 0.0000  2 Os 2.55, 1 Al 2.78
Al 0.8525 0.6475 0.0000  2 Os 2.55, 1 Al 2.78
Ca 0.8197 0.3197 0.5000  6 Al 2.98-3.33
Al 0.1475 0.3525 0.0000  2 Os 2.55, 1 Al 2.78
Ca 0.1803 0.6803 0.5000  6 Al 2.98-3.33

Properties
D(E_F), states/eV/cell: 9.63
ΔE_f, eV/atom: -0.002

***

(2)
The following is a DFT calculation (PBE) of an optimized crystal structure of Mg2ZrScNi.

abc: 5.3404 5.3404 4.4753
angles: 90.00 90.00 90.00
Last column: nearest neighbours and their distance in Å.
Positions (direct):
Ni 0.0000 0.0000 0.5000  2 Zr 2.24
Sc 0.5000 0.5000 0.5000  8 Mg 3.48, 4 Ni 3.78
Mg 0.0000 0.5000 0.0000  2 Zr 2.67
Mg 0.5000 0.0000 0.0000  2 Zr 2.67
Zr 0.0000 0.0000 0.0000  2 Ni 2.24

Properties
D(E_F), states/eV/cell: 5.28
ΔE_f, eV/atom: 0.873

***

(3)
The following is a DFT calculation (PBE) of an optimized crystal structure of TiAgNF2.

abc: 4.0203 4.0203 3.9378
angles: 90.00 90.00 90.00
Last column: nearest neighbours and their distance in Å.
Positions (direct):
Ag 0.5000 0.5000 0.5000  8 F 2.81, 4 N 2.84
N 0.0000 0.0000 0.5000  2 Ti 1.97
F 0.5000 0.0000 0.0000  2 Ti 2.01
Ti 0.0000 0.0000 0.0000  2 N 1.97, 4 F 2.01
F 0.0000 0.5000 0.0000  2 Ti 2.01

Properties
D(E_F), states/eV/cell: 0.34
Energy relative to the elements, uncorrected, eV per atom: -1.491

***

(4)
The following is a DFT calculation (PBE) of an optimized crystal structure of Nd5Ho3Mg.

abc: 10.0349 10.0349 9.1484
angles: 58.92 58.92 71.94
Last column: nearest neighbours and their distance in Å.
Positions (direct):
Nd 0.7440 0.2560 0.0000  1 Ho 3.02
Ho 0.7028 0.7028 0.3731  1 Mg 2.86, 3 Nd 3.16
Nd 0.2560 0.7440 0.0000  1 Ho 3.02
Mg 0.8666 0.8666 0.4065  4 Ho 2.79-3.10
Ho 0.2972 0.2972 0.6269  1 Mg 2.86, 3 Nd 3.16
Ho 0.0000 0.0000 0.5000  2 Mg 2.79, 2 Nd 3.12
Ho 0.0000 0.0000 0.0000  2 Mg 2.87, 2 Nd 3.02
Nd 0.4059 0.9326 0.3622  2 Ho 3.16-3.54, 1 Mg 3.32
Nd 0.0674 0.5941 0.6378  2 Ho 3.16-3.54, 1 Mg 3.32
Mg 0.1334 0.1334 0.5935  4 Ho 2.79-3.10
Nd 0.1870 0.1870 0.0629  3 Ho 3.12-3.43, 1 Nd 3.29
Ho 0.3590 0.3590 0.1974  1 Mg 3.10, 4 Nd 3.33-3.41, 1 Ho 3.38
Nd 0.8130 0.8130 0.9371  3 Ho 3.12-3.43, 1 Nd 3.29
Nd 0.9326 0.4059 0.3622  2 Ho 3.16-3.54, 1 Mg 3.32
Nd 0.5941 0.0674 0.6378  2 Ho 3.16-3.54, 1 Mg 3.32
Ho 0.6410 0.6410 0.8026  1 Mg 3.10, 4 Nd 3.33-3.41, 1 Ho 3.38
Nd 0.4500 0.4500 0.7523  4 Ho 3.27-3.41, 1 Nd 3.29
Nd 0.5500 0.5500 0.2477  4 Ho 3.27-3.41, 1 Nd 3.29

Properties
D(E_F), states/eV/cell: 25.77
ΔE_f, eV/atom: 0.531

***

(5)
The following is a DFT calculation (PBE) of an optimized crystal structure of Cs2HfHg.

abc: 3.6961 9.8350 10.2025
angles: 93.29 99.66 93.05
Last column: nearest neighbours and their distance in Å.
Positions (direct):
Cs 0.0965 0.1013 0.7144  3 Cs 3.70-4.08, 2 Hg 3.88-3.93, 1 Hf 3.95
Cs 0.5343 0.7121 0.4331  3 Hg 3.66-3.91, 2 Cs 3.70
Cs 0.7804 0.8752 0.0679  2 Cs 3.70, 1 Hf 3.83, 1 Hg 3.98
Hg 0.9081 0.4915 0.1607  2 Hf 2.90
Hg 0.5416 0.3475 0.4867  2 Hf 2.89
Hf 0.3618 0.2634 0.1307  2 Hg 2.90, 2 Hf 2.93
Cs 0.2471 0.5093 0.8220  3 Cs 3.70-4.08, 4 Hg 3.88-4.12, 1 Hf 4.06
Hf 0.9441 0.1739 0.3333  2 Hg 2.89, 2 Hf 2.93

Properties
D(E_F), states/eV/cell: 7.19
ΔE_f, eV/atom: 0.421

***

(6)
The following is a DFT calculation (PBE) of an optimized crystal structure of LiRu2.

abc: 3.8697 3.8697 3.8697
angles: 60.00 60.00 60.00
Last column: nearest neighbours and their distance in Å.
Positions (direct):
Li 0.0000 0.0000 0.0000  8 Ru 2.37
Ru 0.2500 0.2500 0.2500  4 Li 2.37
Ru 0.7500 0.7500 0.7500  4 Li 2.37

Properties
D(E_F), states/eV/cell: 4.75
ΔE_f, eV/atom: 1.032

***

(7)
The following is a DFT calculation (PBE) of an optimized crystal structure of SiTcAg2.

abc: 9.4709 9.4709 9.4709
angles: 17.13 17.13 17.13
Last column: nearest neighbours and their distance in Å.
Positions (direct):
Ag 0.5018 0.5018 0.5018  3 Si 2.80, 6 Ag 2.82, 3 Tc 2.89
Tc 0.7500 0.7500 0.7500  6 Tc 2.82, 6 Ag 2.89
Si 0.2500 0.2500 0.2500  6 Ag 2.80, 6 Si 2.82
Ag 0.9982 0.9982 0.9982  3 Si 2.80, 6 Ag 2.82, 3 Tc 2.89

Properties
D(E_F), states/eV/cell: 3.91
Energy relative to the elements, uncorrected, eV per atom: 0.452

***

(8)
The following is a DFT calculation (PBE) of an optimized crystal structure of HoMgAlS4.

abc: 7.5310 7.5343 7.5343
angles: 60.20 60.01 60.01
Last column: nearest neighbours and their distance in Å.
Positions (direct):
S 0.7422 0.7519 0.2519  1 Al 2.32
Mg 0.0000 0.0000 0.5000  6 S 2.63-2.64
Al 0.6303 0.6197 0.1197  4 S 2.30-2.32
S 0.2578 0.2481 0.7481  1 Al 2.32
S 0.7460 0.2481 0.7481  1 Al 2.32
Ho 0.0000 0.5000 0.5000  6 S 2.70
Al 0.3697 0.3803 0.8803  4 S 2.30-2.32
S 0.2539 0.2392 0.2531  1 Al 2.30
S 0.2540 0.7519 0.2519  1 Al 2.32
Ho 0.0000 0.0000 0.0000  6 S 2.70
S 0.2539 0.7531 0.7392  1 Al 2.30
S 0.7461 0.7608 0.7469  1 Al 2.30
S 0.7461 0.2469 0.2608  1 Al 2.30
Mg 0.5000 0.0000 0.5000  6 S 2.63-2.64

Properties
Energy relative to the elements, uncorrected, eV per atom: -1.485

***

(9)
The following is a DFT calculation (PBE) of an optimized crystal structure of TlTc3.

abc: 2.9569 4.4561 4.9924
angles: 90.00 90.00 90.00
Last column: nearest neighbours and their distance in Å.
Positions (direct):
Tc 0.0000 0.0000 0.9816  8 Tc 2.66-2.96, 2 Tl 2.81
Tl 0.0000 0.5000 0.3252  10 Tc 2.81-2.92, 2 Tl 2.96
Tc 0.5000 0.0000 0.5395  4 Tc 2.63-2.66, 4 Tl 2.88
Tc 0.5000 0.5000 0.8203  6 Tc 2.63-2.79, 4 Tl 2.88-2.92

Properties
D(E_F), states/eV/cell: 3.77
ΔE_f, eV/atom: 0.539

***

(10)
The following is a DFT calculation (PBE) of an optimized crystal structure of Ba2Hg5Pb5.

abc: 5.3517 6.7464 10.9400
angles: 90.00 90.00 90.00
Last column: nearest neighbours and their distance in Å.
Positions (direct):
Pb 0.5000 0.7499 0.2444  5 Hg 3.16-3.30, 3 Pb 3.27-3.37
Pb 0.5000 0.2501 0.7556  5 Hg 3.16-3.30, 3 Pb 3.27-3.37
Pb 0.5000 0.2501 0.2444  5 Hg 3.16-3.30, 3 Pb 3.27-3.37
Pb 0.5000 0.7499 0.7556  5 Hg 3.16-3.30, 3 Pb 3.27-3.37
Hg 0.0000 0.0000 0.8400  3 Hg 3.20-3.50, 4 Pb 3.30
Hg 0.0000 0.0000 0.1600  3 Hg 3.20-3.50, 4 Pb 3.30
Hg 0.5000 0.0000 0.0000  4 Pb 3.16, 4 Hg 3.20
Ba 0.0000 0.5000 0.0000  6 Hg 3.63-3.80
Hg 0.0000 0.5000 0.3320  6 Pb 3.25-3.30, 1 Ba 3.63
Ba 0.0000 0.0000 0.5000  6 Hg 3.72-3.84
Pb 0.5000 0.5000 0.5000  4 Hg 3.25, 4 Pb 3.27
Hg 0.0000 0.5000 0.6680  6 Pb 3.25-3.30, 1 Ba 3.63

Properties
D(E_F), states/eV/cell: 6.56
ΔE_f, eV/atom: -0.226

***

(11)
The following is a DFT calculation (PBE) of an optimized crystal structure of YMg2Si2.

abc: 4.1837 4.1837 6.5061
angles: 71.25 71.25 90.00
Last column: nearest neighbours and their distance in Å.
Positions (direct):
Mg 0.2500 0.7500 0.5000  4 Si 2.71, 4 Mg 2.96
Si 0.3986 0.3986 0.2028  1 Si 2.35
Y 0.0000 0.0000 0.0000  8 Si 3.18
Si 0.6014 0.6014 0.7972  1 Si 2.35
Mg 0.7500 0.2500 0.5000  4 Si 2.71, 4 Mg 2.96

Properties
D(E_F), states/eV/cell: 2.08
Energy relative to the elements, uncorrected, eV per atom: -0.372

***

(12)
The following is a DFT calculation (PBE) of an optimized crystal structure of CsNb3Co.

abc: 5.0000 5.0000 5.0000
angles: 90.00 90.00 90.00
Last column: nearest neighbours and their distance in Å.
Positions (direct):
Nb 0.0000 0.5000 0.0000  2 Cs 2.50
Cs 0.0000 0.0000 0.0000  6 Nb 2.50
Nb 0.5000 0.0000 0.0000  2 Cs 2.50
Co 0.5000 0.5000 0.5000  12 Nb 3.54
Nb 0.0000 0.0000 0.5000  2 Cs 2.50

Properties
D(E_F), states/eV/cell: 6.61
ΔE_f, eV/atom: 3.024

***

Number 1: V 22.3 A^3/atom. Number 2: V 25.5 A^3/atom. Number 3: V 12.7 A^3/atom. Number 4: V 37.5 A^3/atom. Number 5: V 45.5 A^3/atom. Number 6: V 13.7 A^3/atom. Number 7: V 16.1 A^3/atom. Number 8: V 21.6 A^3/atom. Number 9: V 16.4 A^3/atom. Number 10: V 32.9 A^3/atom. Number 11: V 20.3 A^3/atom. Number 12: V 25.0 A^3/atom.